No. 1
{
  "formula": "Pm6Sm3Er",
  "functional": "GGA-PBE",
  "state": "optimized geometry",
  "de_polymorph_mev_per_atom": 98,
  "formation_energy_kj_per_mol_atoms": 23,
  "rho_g_cm3": 7.19,
  "volume_a3_per_atom": 34.36,
  "total_energy_ev_per_atom": -4.485,
  "total_magnetization_mub_per_fu": 0.000,
  "cell": [[8.819, 0.000, 4.680], [3.168, 8.231, 4.680], [2.220, 1.524, 6.467]],
  "species": ["Pm", "Pm", "Pm", "Pm", "Pm", "Pm", "Sm", "Sm", "Sm", "Er"],
  "fractional_positions": [[0.927, 0.603, 0.198], [0.272, 0.927, 0.198], [0.603, 0.272, 0.198], [0.097, 0.428, 0.702], [0.773, 0.097, 0.702], [0.428, 0.773, 0.702], [0.350, 0.350, 0.949], [0.600, 0.600, 0.201], [0.100, 0.100, 0.699], [0.850, 0.850, 0.450]]
}

---

No. 2
{
  "formula": "Pm5Sm6Er",
  "functional": "GGA-PBE",
  "state": "optimized geometry",
  "formation_energy_kj_per_mol_atoms": 1,
  "rho_g_cm3": 7.35,
  "volume_a3_per_atom": 33.76,
  "total_energy_ev_per_atom": -4.706,
  "total_magnetization_mub_per_fu": 0.000,
  "cell": [[-5.347, 1.902, -2.700], [-3.445, -4.051, -3.346], [-7.780, -2.342, 8.877]],
  "species": ["Er", "Sm", "Sm", "Sm", "Sm", "Sm", "Sm", "Pm", "Pm", "Pm", "Pm", "Pm"],
  "fractional_positions": [[0.000, 0.000, 0.000], [0.585, 0.332, 0.249], [0.083, 0.332, 0.751], [0.751, 0.000, 0.751], [0.249, 0.000, 0.249], [0.917, 0.668, 0.249], [0.415, 0.668, 0.751], [0.166, 0.667, 0.500], [0.333, 0.333, 0.000], [0.500, 0.000, 0.500], [0.667, 0.667, 0.000], [0.834, 0.333, 0.500]]
}

---

No. 3
{
  "formula": "Pm4Sm5Er2",
  "functional": "GGA-PBE",
  "state": "optimized geometry",
  "de_polymorph_mev_per_atom": 0,
  "formation_energy_kj_per_mol_atoms": 7,
  "rho_g_cm3": 7.48,
  "volume_a3_per_atom": 33.62,
  "total_energy_ev_per_atom": -4.625,
  "total_magnetization_mub_per_fu": 0.000,
  "cell": [[-2.050, 1.211, -2.653], [8.034, -3.449, -7.785], [-3.341, -8.338, 1.171]],
  "species": ["Pm", "Pm", "Pm", "Pm", "Sm", "Sm", "Sm", "Sm", "Sm", "Er", "Er"],
  "fractional_positions": [[0.359, 0.204, 0.718], [0.962, 0.738, 0.925], [0.641, 0.796, 0.282], [0.038, 0.262, 0.075], [0.903, 0.463, 0.806], [0.097, 0.537, 0.194], [0.822, 0.928, 0.644], [0.500, 0.000, 0.000], [0.178, 0.072, 0.356], [0.716, 0.356, 0.431], [0.284, 0.644, 0.569]]
}

---

No. 4
{
  "formula": "Pm2Sm6Er",
  "functional": "GGA-PBE",
  "state": "optimized geometry",
  "de_polymorph_mev_per_atom": 0,
  "formation_energy_kj_per_mol_atoms": 6,
  "rho_g_cm3": 7.54,
  "volume_a3_per_atom": 33.28,
  "total_energy_ev_per_atom": -4.651,
  "total_magnetization_mub_per_fu": 0.000,
  "cell": [[-0.340, -3.312, -1.192], [9.418, -1.806, 2.335], [-7.479, -4.969, 5.461]],
  "species": ["Pm", "Pm", "Sm", "Sm", "Sm", "Sm", "Sm", "Sm", "Er"],
  "fractional_positions": [[0.333, 0.333, 0.666], [0.667, 0.667, 0.334], [0.830, 0.001, 0.669], [0.170, 0.332, 0.331], [0.170, 0.999, 0.331], [0.500, 0.331, 0.000], [0.830, 0.668, 0.669], [0.500, 0.669, 0.000], [0.000, 0.000, 0.000]]
}

---

No. 5
{
  "formula": "Pm4Sm6Er",
  "functional": "GGA-PBE",
  "state": "optimized geometry",
  "formation_energy_kj_per_mol_atoms": 37,
  "rho_g_cm3": 6.99,
  "volume_a3_per_atom": 35.64,
  "total_energy_ev_per_atom": -4.329,
  "total_magnetization_mub_per_fu": 0.000,
  "cell": [[-2.449, -2.482, -6.767], [6.171, -4.413, -0.614], [-5.170, -1.604, 6.741]],
  "species": ["Pm", "Pm", "Pm", "Pm", "Sm", "Sm", "Sm", "Sm", "Sm", "Sm", "Er"],
  "fractional_positions": [[0.093, 0.749, 0.842], [0.907, 0.907, 0.158], [0.749, 0.093, 0.842], [0.251, 0.251, 0.158], [0.915, 0.459, 0.374], [0.459, 0.915, 0.374], [0.541, 0.541, 0.626], [0.000, 0.500, 0.000], [0.085, 0.085, 0.626], [0.500, 0.000, 0.000], [0.500, 0.500, 0.000]]
}

---

No. 6
{
  "formula": "Pm4SmEr7",
  "functional": "GGA-PBE",
  "state": "optimized geometry",
  "de_polymorph_mev_per_atom": 180,
  "formation_energy_kj_per_mol_atoms": 26,
  "rho_g_cm3": 7.90,
  "volume_a3_per_atom": 33.29,
  "total_energy_ev_per_atom": -4.372,
  "total_magnetization_mub_per_fu": 0.000,
  "cell": [[-2.321, -4.592, -2.835], [-1.476, -8.084, 8.214], [-6.717, -0.185, -0.288]],
  "species": ["Pm", "Pm", "Pm", "Pm", "Sm", "Er", "Er", "Er", "Er", "Er", "Er", "Er"],
  "fractional_positions": [[0.637, 0.223, 0.503], [0.363, 0.777, 0.497], [0.771, 0.670, 0.788], [0.229, 0.330, 0.212], [0.000, 0.000, 0.000], [0.789, 0.923, 0.499], [0.211, 0.077, 0.501], [0.067, 0.683, 0.183], [0.933, 0.317, 0.817], [0.367, 0.497, 0.768], [0.500, 0.000, 0.000], [0.633, 0.503, 0.232]]
}

---

No. 7
{
  "formula": "Pm5Sm4Er",
  "functional": "GGA-PBE",
  "state": "optimized geometry",
  "de_polymorph_mev_per_atom": 0,
  "formation_energy_kj_per_mol_atoms": 1,
  "rho_g_cm3": 7.36,
  "volume_a3_per_atom": 33.72,
  "total_energy_ev_per_atom": -4.704,
  "total_magnetization_mub_per_fu": 0.000,
  "cell": [[3.551, -0.006, -0.724], [-0.389, 10.052, -2.060], [0.107, -0.658, 9.564]],
  "species": ["Pm", "Pm", "Pm", "Pm", "Pm", "Sm", "Sm", "Sm", "Sm", "Er"],
  "fractional_positions": [[0.700, 0.600, 0.400], [0.099, 0.802, 0.198], [0.901, 0.198, 0.802], [0.500, 0.500, 0.000], [0.300, 0.400, 0.600], [0.700, 0.100, 0.399], [0.099, 0.297, 0.199], [0.300, 0.900, 0.601], [0.901, 0.703, 0.801], [0.500, 0.000, 0.000]]
}

---

No. 8
{
  "formula": "PmSm2Er6",
  "functional": "GGA-PBE",
  "state": "optimized geometry",
  "de_polymorph_mev_per_atom": 0,
  "formation_energy_kj_per_mol_atoms": 7,
  "rho_g_cm3": 8.49,
  "volume_a3_per_atom": 31.50,
  "total_energy_ev_per_atom": -4.543,
  "total_magnetization_mub_per_fu": 0.000,
  "cell": [[3.402, -0.506, -0.263], [-1.815, 8.836, 5.060], [-2.680, 0.468, 9.978]],
  "species": ["Pm", "Sm", "Sm", "Er", "Er", "Er", "Er", "Er", "Er"],
  "fractional_positions": [[0.000, 0.000, 0.000], [0.333, 0.667, 0.667], [0.667, 0.333, 0.333], [0.834, 0.333, 0.000], [0.166, 0.000, 0.667], [0.166, 0.667, 0.000], [0.500, 0.334, 0.666], [0.834, 0.000, 0.333], [0.500, 0.666, 0.334]]
}

---

No. 9
{
  "formula": "PmSm7Er12",
  "functional": "GGA-PBE",
  "state": "optimized geometry",
  "de_polymorph_mev_per_atom": 0,
  "formation_energy_kj_per_mol_atoms": 28,
  "rho_g_cm3": 8.23,
  "volume_a3_per_atom": 32.32,
  "total_energy_ev_per_atom": -4.334,
  "total_magnetization_mub_per_fu": 0.000,
  "cell": [[-7.835, 3.358, -1.655], [-3.019, -7.006, 4.148], [1.332, 4.655, 7.209]],
  "species": ["Pm", "Sm", "Sm", "Sm", "Sm", "Sm", "Sm", "Sm", "Er", "Er", "Er", "Er", "Er", "Er", "Er", "Er", "Er", "Er", "Er", "Er"],
  "fractional_positions": [[0.000, 0.000, 0.000], [0.914, 0.645, 0.980], [0.355, 0.020, 0.086], [0.020, 0.086, 0.355], [0.500, 0.500, 0.500], [0.980, 0.914, 0.645], [0.645, 0.980, 0.914], [0.086, 0.355, 0.020], [0.815, 0.252, 0.683], [0.748, 0.317, 0.185], [0.484, 0.148, 0.417], [0.852, 0.583, 0.516], [0.317, 0.185, 0.748], [0.583, 0.516, 0.852], [0.417, 0.484, 0.148], [0.683, 0.815, 0.252], [0.148, 0.417, 0.484], [0.516, 0.852, 0.583], [0.252, 0.683, 0.815], [0.185, 0.748, 0.317]]
}